This record from Alexandria describes crystalline ReTc2Te at its relaxed geometry. The functional is PBE-GGA.

For the formation energy from raw total energies, the calculation gives 0.517 eV/atom.

It has space group Immm (No. 71), with a = 3.118 Å, b = 4.555 Å, c = 9.056 Å, α = 90.00°, β = 90.00° and γ = 90.00°. The distinct sites, in fractional coordinates, are Re at (0.000, 0.000, 0.000), Tc at (0.000, 0.500, 0.233) and Te at (0.000, 0.000, 0.500).